Entry 1:
Li2Mg2Al2AgPt PBE-GGA optimized geometry; uncorrected energy = -0.24975 Ry/atom; crystal system = tetragonal; magnetic moment = 0.0 μB/f.u.; SG = P-4m2, No. 115
1.0
4.4549 0.0000 0.0000
0.0000 4.4549 0.0000
0.0000 0.0000 6.3834
Ag Al Li Mg Pt
1 2 2 2 1
direct
0.0000 0.0000 0.0000
0.0000 0.5000 0.2691
0.5000 0.0000 0.7309
0.5000 0.5000 0.0000
0.0000 0.0000 0.5000
0.5000 0.0000 0.2575
0.0000 0.5000 0.7425
0.5000 0.5000 0.5000


Entry 2:
Cs3NaAg2Sb2 PBE-GGA optimized geometry; uncorrected energy = -0.18935 Ry/atom; crystal system = monoclinic; SG = Pm, No. 6
1.0
7.0045 0.0000 0.0000
0.0000 6.4706 0.0000
-1.7086 0.0000 7.0215
Ag Cs Na Sb
2 3 1 2
direct
0.9940 0.2586 0.9833
0.9940 0.7414 0.9833
0.5487 0.5000 0.1850
0.1869 0.5000 0.5138
0.4690 0.0000 0.8230
0.8648 0.0000 0.5350
0.1937 0.0000 0.2563
0.7490 0.5000 0.7204


Entry 3:
K2CuTcCl6 PBE-GGA optimized geometry; uncorrected energy = -0.27905 Ry/atom; crystal system = cubic; magnetic moment = 2.1 μB/f.u.; SG = Fm-3m, No. 225
1.0
0.0000 4.9014 4.9014
4.9014 0.0000 4.9014
4.9014 4.9014 0.0000
Cl Cu K Tc
6 1 2 1
direct
0.2469 0.7531 0.2469
0.7531 0.7531 0.2469
0.7531 0.2469 0.2469
0.7531 0.2469 0.7531
0.2469 0.2469 0.7531
0.2469 0.7531 0.7531
0.5000 0.5000 0.5000
0.2500 0.2500 0.2500
0.7500 0.7500 0.7500
0.0000 0.0000 0.0000


Entry 4:
Sc3In3Cu2Pt PBE-GGA optimized geometry; uncorrected energy = -0.37026 Ry/atom; crystal system = hexagonal; magnetic moment = 0.0 μB/f.u.; SG = P-62m, No. 189
1.0
-5.3086 -5.1129 0.9997
7.1615 -2.0063 0.0985
0.1131 0.5786 3.5600
Cu In Pt Sc
2 3 1 3
direct
0.6667 0.3333 0.5000
0.3333 0.6667 0.5000
0.2791 0.0000 0.5000
0.0000 0.2791 0.5000
0.7209 0.7209 0.5000
0.0000 0.0000 0.0000
0.6065 0.0000 0.0000
0.3935 0.3935 0.0000
0.0000 0.6065 0.0000